# 1
Below is a relaxed CaBeRe2 crystal, with properties calculated at the PBE level.

abc: 4.098 5.788 5.788
angles: 31.04 90.00 90.00
Atoms (fractional coordinates):
Ca 0.000 0.000 0.000
Be 0.500 0.374 0.374
Re 0.000 0.258 0.258
Re 0.500 0.713 0.713

Output
The value obtained for the formation energy from the elements is 36 kJ/mol of atoms. As for the space group: Amm2 (38).



# 2
Below is a relaxed AgAsOs crystal, with properties calculated at the PBE level.

abc: 7.766 7.528 2.844
angles: 84.04 74.60 21.36
Atoms (fractional coordinates):
Ag 0.000 0.000 0.000
As 0.702 0.702 0.298
Os 0.334 0.334 0.666

Output
The value obtained for the formation energy from the elements is 53 kJ/mol of atoms. As for the space group: Fmm2 (42).



# 3
Below is a relaxed RbZnCuSb2 crystal, with properties calculated at the PBE level.

abc: 6.252 6.252 5.274
angles: 90.00 90.00 90.00
Atoms (fractional coordinates):
Rb 0.000 0.000 0.000
Zn 0.500 0.500 0.500
Cu 0.000 0.000 0.500
Sb 0.000 0.500 0.000
Sb 0.500 0.000 0.000

Output
As for the space group: P4/mmm (123). For the calculated total energy, the calculation gives -1.321 eV/atom.



# 4
Below is a relaxed Te2RhPbI crystal, with properties calculated at the PBE level.

abc: 5.870 5.870 6.067
angles: 90.00 90.00 90.00
Atoms (fractional coordinates):
Te 0.000 0.500 0.000
Te 0.500 0.000 0.000
Rh 0.000 0.000 0.500
Pb 0.500 0.500 0.000
I 0.500 0.500 0.500

Output
As for the space group: P4/mmm (123). For the calculated total energy, the calculation gives -2.701 eV/atom.



# 5
Below is a relaxed Rb2Cu3BiF12 crystal, with properties calculated at the PBE level.

abc: 7.348 7.348 7.348
angles: 61.47 61.47 61.47
Atoms (fractional coordinates):
Rb 0.111 0.111 0.111
Rb 0.889 0.889 0.889
Cu 0.000 0.500 0.500
Cu 0.500 0.000 0.500
Cu 0.500 0.500 0.000
Bi 0.500 0.500 0.500
F 0.123 0.607 0.607
F 0.207 0.207 0.592
F 0.207 0.592 0.207
F 0.393 0.393 0.877
F 0.393 0.877 0.393
F 0.408 0.793 0.793
F 0.592 0.207 0.207
F 0.607 0.123 0.607
F 0.607 0.607 0.123
F 0.793 0.408 0.793
F 0.793 0.793 0.408
F 0.877 0.393 0.393

Output
As for the space group: R-3m (166). For the calculated total energy, the calculation gives -4.277 eV/atom.



# 6
Below is a relaxed Li2TcPb crystal, with properties calculated at the PBE level.

abc: 5.527 5.527 4.568
angles: 113.71 113.71 33.28
Atoms (fractional coordinates):
Li 0.242 0.242 0.240
Li 0.758 0.758 0.760
Tc 0.500 0.500 0.000
Pb 0.000 0.000 0.500

Output
The value obtained for the formation energy from the elements is 22 kJ/mol of atoms. As for the space group: C2/m (12).



Please write out number 3 again, unchanged.
Below is a relaxed RbZnCuSb2 crystal, with properties calculated at the PBE level.

abc: 6.252 6.252 5.274
angles: 90.00 90.00 90.00
Atoms (fractional coordinates):
Rb 0.000 0.000 0.000
Zn 0.500 0.500 0.500
Cu 0.000 0.000 0.500
Sb 0.000 0.500 0.000
Sb 0.500 0.000 0.000

Output
As for the space group: P4/mmm (123). For the calculated total energy, the calculation gives -1.321 eV/atom.



Please write out number 5 again, unchanged.
Below is a relaxed Rb2Cu3BiF12 crystal, with properties calculated at the PBE level.

abc: 7.348 7.348 7.348
angles: 61.47 61.47 61.47
Atoms (fractional coordinates):
Rb 0.111 0.111 0.111
Rb 0.889 0.889 0.889
Cu 0.000 0.500 0.500
Cu 0.500 0.000 0.500
Cu 0.500 0.500 0.000
Bi 0.500 0.500 0.500
F 0.123 0.607 0.607
F 0.207 0.207 0.592
F 0.207 0.592 0.207
F 0.393 0.393 0.877
F 0.393 0.877 0.393
F 0.408 0.793 0.793
F 0.592 0.207 0.207
F 0.607 0.123 0.607
F 0.607 0.607 0.123
F 0.793 0.408 0.793
F 0.793 0.793 0.408
F 0.877 0.393 0.393

Output
As for the space group: R-3m (166). For the calculated total energy, the calculation gives -4.277 eV/atom.